Record 1
# ZrCrPt3

A geometry-optimized ZrCrPt3 structure (PBE, Alexandria).

formation enthalpy at 0 K	383	meV per atom
ΔE to the lowest computed polymorph	0	meV/atom
M_tot	0.00	μB per formula unit
space-group type	Pm-3m, No. 221
uncorrected energy	-6.88	eV per atom

```
ZrCrPt3
1.0
-4.2580 1.6772 0.3970
-0.4979 -2.2098 3.9962
1.6500 3.6613 2.2302
Cr Pt Zr
1 3 1
Direct
0.0000 0.0000 0.0000
0.5000 0.0000 0.0000
0.0000 0.0000 0.5000
0.0000 0.5000 0.0000
0.5000 0.5000 0.5000
```



Record 2
# MgZr2CuRe

A geometry-optimized MgZr2CuRe structure (PBE, Alexandria).

formation enthalpy at 0 K	666	meV per atom
ΔE to the lowest computed polymorph	0	meV/atom
M_tot	0.00	μB per formula unit
space-group type	P4/mmm, No. 123
uncorrected energy	-6.38	eV per atom

```
MgZr2CuRe
1.0
5.0059 0.0000 0.0000
0.0000 4.8725 0.0000
0.0000 0.0000 5.0059
Re Zr Cu Mg
1 2 1 1
Direct
0.0000 0.0000 0.0000
0.0000 0.0000 0.5000
0.5000 0.0000 0.0000
0.0000 0.5000 0.0000
0.5000 0.5000 0.5000
```



Record 3
# SrCuN2F

A geometry-optimized SrCuN2F structure (PBE, Alexandria).

ΔE_f (raw)	-313	meV per atom
ΔE to the lowest computed polymorph	0	meV/atom
M_tot	1.78	μB per formula unit
space-group type	P4/mmm, No. 123
uncorrected energy	-5.17	eV per atom

```
SrCuN2F
1.0
-0.2555 3.5027 -1.2363
-1.2515 -1.2479 -3.2771
-4.4909 0.2449 1.6218
N Cu Sr F
2 1 1 1
Direct
0.5000 0.0000 0.0000
0.0000 0.5000 0.0000
0.0000 0.0000 0.0000
0.5000 0.5000 0.5000
0.0000 0.0000 0.5000
```



Record 4
# HgAsOs2Au

A geometry-optimized HgAsOs2Au structure (PBE, Alexandria).

formation enthalpy at 0 K	2645	meV per atom
M_tot	5.10	μB per formula unit
space-group type	P4/mmm, No. 123
uncorrected energy	-3.49	eV per atom

```
HgAsOs2Au
1.0
-2.1046 -3.8424 -2.5379
3.2078 0.6865 -3.6993
3.2272 -3.2212 2.2007
Au Hg Os As
1 1 2 1
Direct
0.5000 0.5000 0.5000
0.0000 0.0000 0.0000
0.5000 0.0000 0.0000
0.0000 0.0000 0.5000
0.0000 0.5000 0.0000
```



Record 5
# Y4Tl3H2

A geometry-optimized Y4Tl3H2 structure (PBE, Alexandria).

M_tot	0.00	μB per formula unit
space-group type	C2/m, No. 12
uncorrected energy	-4.82	eV per atom

```
Y4Tl3H2
1.0
-1.1491 4.0751 -0.9936
-4.7095 -3.4085 0.9850
1.5933 2.3887 7.9542
Y Tl H
4 3 2
Direct
0.2826 0.5653 0.8537
0.1288 0.2576 0.4200
0.7174 0.4347 0.1463
0.8712 0.7424 0.5800
0.0000 0.0000 0.0000
0.5829 0.1657 0.7240
0.4171 0.8343 0.2760
0.7008 0.4015 0.4009
0.2992 0.5985 0.5991
```



Record 6
# YErBe2

A geometry-optimized YErBe2 structure (PBE, Alexandria).

formation enthalpy at 0 K	82	meV per atom
M_tot	0.00	μB per formula unit
space-group type	Fm-3m, No. 225
uncorrected energy	-4.54	eV per atom

```
YErBe2
1.0
4.8091 0.0000 0.0000
2.4046 4.1648 0.0000
2.4046 1.3883 3.9266
Y Be Er
1 2 1
Direct
0.5000 0.5000 0.5000
0.7500 0.7500 0.7500
0.2500 0.2500 0.2500
0.0000 0.0000 0.0000
```



Copy entry 4 word for word.
# HgAsOs2Au

A geometry-optimized HgAsOs2Au structure (PBE, Alexandria).

formation enthalpy at 0 K	2645	meV per atom
M_tot	5.10	μB per formula unit
space-group type	P4/mmm, No. 123
uncorrected energy	-3.49	eV per atom

```
HgAsOs2Au
1.0
-2.1046 -3.8424 -2.5379
3.2078 0.6865 -3.6993
3.2272 -3.2212 2.2007
Au Hg Os As
1 1 2 1
Direct
0.5000 0.5000 0.5000
0.0000 0.0000 0.0000
0.5000 0.0000 0.0000
0.0000 0.0000 0.5000
0.0000 0.5000 0.0000
```